Version 1
AlBN2 after structural relaxation, computed with GGA-PBE.

```
8
Lattice="4.104 0.000 0.000 0.000 4.104 0.000 2.052 2.052 3.843" Properties=species:S:1:pos:R:3 pbc="T T T"
B 2.052 4.104 1.921
Al 4.104 2.052 1.921
N 1.255 3.078 0.961
N 2.848 1.026 0.961
Al 0.000 0.000 0.000
B 2.052 2.052 0.000
N 5.129 4.900 2.882
N 3.078 3.307 2.882
```

Computed properties:
M_tot, μB per formula unit: 0.00

---

Version 2
AlBN2 after structural relaxation, computed with GGA-PBE.

```
4
Lattice="-4.347 1.370 2.151 -2.093 2.824 3.611 -3.094 3.869 0.922" Properties=species:S:1:pos:R:3 pbc="T T T"
Al -4.767 4.031 3.342
B 0.000 0.000 0.000
N -0.899 0.760 0.630
N -8.636 7.302 6.054
```

Computed properties:
M_tot, μB per formula unit: 0.00

---

Version 3
AlBN2 after structural relaxation, computed with GGA-PBE.

```
4
Lattice="0.000 2.493 2.493 2.493 0.000 2.493 2.493 2.493 0.000" Properties=species:S:1:pos:R:3 pbc="T T T"
Al 2.493 2.493 2.493
N 1.247 1.247 1.247
B 0.000 0.000 0.000
N 3.740 3.740 3.740
```

Computed properties:
M_tot, μB per formula unit: 0.00

---

Quick ranking, most stable first: version 1, version 2, version 3.

---

Version 1
Al2BN after structural relaxation, computed with GGA-PBE.

```
4
Lattice="0.000 2.743 2.743 2.743 0.000 2.743 2.743 2.743 0.000" Properties=species:S:1:pos:R:3 pbc="T T T"
Al 4.115 4.115 4.115
Al 1.372 1.372 1.372
N 2.743 2.743 2.743
B 0.000 0.000 0.000
```

Computed properties:
M_tot, μB per formula unit: 0.00

---

Version 2
Al2BN after structural relaxation, computed with GGA-PBE.

```
8
Lattice="-2.080 -2.317 3.810 2.242 -4.177 -1.317 3.376 -2.239 3.658" Properties=species:S:1:pos:R:3 pbc="T T T"
Al 2.081 -3.353 0.392
N 0.000 0.000 0.000
N 0.689 -3.902 4.357
B 2.849 -4.832 1.794
Al 2.490 -3.923 3.739
B 0.081 -3.247 1.246
Al 2.777 -7.554 4.864
Al -0.271 -2.637 3.306
```

Computed properties:
M_tot, μB per formula unit: 0.00

---

Quick ranking, most stable first: version 2, version 1.

---

Version 1
AlBSeN2 after structural relaxation, computed with GGA-PBE.

```
5
Lattice="-3.399 -0.760 0.399 0.554 -0.698 3.390 -1.316 6.731 1.600" Properties=species:S:1:pos:R:3 pbc="T T T"
N -1.699 -0.380 0.200
B -2.081 2.637 2.695
N 0.277 -0.349 1.695
Al 0.000 0.000 0.000
Se -0.658 3.366 0.800
```

Computed properties:
M_tot, μB per formula unit: 0.30

---

Version 2
AlBSeN2 after structural relaxation, computed with GGA-PBE.

```
5
Lattice="-1.829 2.167 1.648 1.560 -0.794 2.774 4.297 4.487 -1.132" Properties=species:S:1:pos:R:3 pbc="T T T"
Se 2.148 2.244 -0.566
N 0.780 -0.397 1.387
N -0.914 1.083 0.824
B 0.000 0.000 0.000
Al 2.014 2.930 1.645
```

Computed properties:
M_tot, μB per formula unit: 0.00

---

Quick ranking, most stable first: version 2, version 1.

---

Version 1
AlBTe2N after structural relaxation, computed with GGA-PBE.

```
5
Lattice="5.651 0.000 0.000 0.000 5.651 0.000 0.000 0.000 3.413" Properties=species:S:1:pos:R:3 pbc="T T T"
N 0.000 0.000 1.706
Te 0.000 2.826 0.000
B 2.826 2.826 1.706
Te 2.826 0.000 0.000
Al 0.000 0.000 0.000
```

Computed properties:
M_tot, μB per formula unit: 0.00

---

Version 2
AlBTe2N after structural relaxation, computed with GGA-PBE.

```
5
Lattice="-5.970 -1.877 1.843 1.358 -6.113 -1.828 0.940 -0.538 2.497" Properties=species:S:1:pos:R:3 pbc="T T T"
B 0.000 0.000 0.000
Al -1.836 -4.264 1.256
Te 0.679 -3.057 -0.914
N 0.470 -0.269 1.249
Te -2.985 -0.939 0.921
```

Computed properties:
M_tot, μB per formula unit: 0.00

---

Quick ranking, most stable first: version 2, version 1.

---

Version 1
Na2AlB after structural relaxation, computed with GGA-PBE.

```
8
Lattice="10.720 0.000 0.000 0.000 10.720 0.000 5.360 5.360 1.999" Properties=species:S:1:pos:R:3 pbc="T T T"
Na 13.400 10.780 1.499
B 5.360 10.720 0.999
Al 0.000 0.000 0.000
B 5.360 5.360 0.000
Al 10.720 5.360 0.999
Na 5.420 2.680 0.500
Na 8.040 10.660 1.499
Na 5.300 8.040 0.500
```

Computed properties:
M_tot, μB per formula unit: 0.00

---

Version 2
Na2AlB after structural relaxation, computed with GGA-PBE.

```
4
Lattice="-0.708 -3.447 3.224 -2.407 0.942 4.012 -4.371 -1.807 0.641" Properties=species:S:1:pos:R:3 pbc="T T T"
Na -1.871 -1.078 1.969
B 0.000 0.000 0.000
Al -3.743 -2.156 3.938
Na -5.614 -3.234 5.908
```

Computed properties:
M_tot, μB per formula unit: 0.00

---

Quick ranking, most stable first: version 1, version 2.

---

Version 1
Nb4AlB after structural relaxation, computed with GGA-PBE.

```
12
Lattice="-5.465 0.922 0.563 -0.823 -1.686 -5.225 2.176 -5.933 3.277" Properties=species:S:1:pos:R:3 pbc="T T T"
Nb -1.428 -5.123 0.428
Al -5.528 0.476 -0.758
Nb -3.182 -4.578 -2.207
Nb -0.670 -6.163 -2.305
B 1.088 -2.967 1.639
Nb -4.034 -3.522 0.536
Nb -3.442 -0.534 0.921
Nb -0.077 -3.175 -1.920
B -2.056 -3.348 -0.692
Nb -2.684 -1.574 -1.812
Al -0.759 -1.240 -3.904
Nb -0.929 -2.119 0.823
```

Computed properties:
M_tot, μB per formula unit: 0.00

---

Version 2
Nb4AlB after structural relaxation, computed with GGA-PBE.

```
12
Lattice="-2.787 2.345 -3.577 -4.913 -0.388 3.573 1.369 5.393 2.468" Properties=species:S:1:pos:R:3 pbc="T T T"
Nb -4.528 4.288 2.695
Nb -3.508 1.645 3.811
Nb -2.010 4.150 4.286
Al -0.697 0.586 -0.894
Nb -0.036 3.360 2.231
B -3.862 4.261 0.338
B -2.468 3.089 2.126
Nb -4.267 1.922 0.941
Nb -2.064 5.428 1.523
Nb -1.803 3.062 -0.231
Nb -1.534 0.855 1.755
Al -2.090 1.759 -2.683
```

Computed properties:
M_tot, μB per formula unit: 0.00

---

Quick ranking, most stable first: version 2, version 1.